No. 1
Here is an optimized crystal structure of TiZn2CdGa from Alexandria via LeMat-Bulk. Energies are from PBE.

Calculated values
* V: 106.9 Å³ per cell
* energy of formation from the pure elements: 3.41 eV/f.u.
* M_tot: 0.0 μB per formula unit

Lattice parameters (Å, degrees): 4.6113 4.6113 5.0265 90.00 90.00 90.00
With the nearest neighbours (Å) after each atom.
Space group P4/mmm (No. 123)
One atom of each set of equivalent atoms:
Ti 0.0000 0.0000 0.0000  4 Cd 3.26, 8 Zn 3.41
Zn 0.0000 0.5000 0.5000  2 Ga 2.31
Cd 0.5000 0.5000 0.0000  2 Ga 2.51
Ga 0.5000 0.5000 0.5000  4 Zn 2.31, 2 Cd 2.51



No. 2
Here is an optimized crystal structure of Tl16Cd12Ga from Alexandria via LeMat-Bulk. Energies are from PBE.

Calculated values
* V: 1600.9 Å³ per cell
* energy of formation from the pure elements: 0.86 eV/f.u.
* M_tot: 0.0 μB per formula unit

Lattice parameters (Å, degrees): 11.6938 16.4101 10.0743 90.00 124.09 90.00
With the nearest neighbours (Å) after each atom.
Space group Cm (No. 8)
One atom of each set of equivalent atoms:
Tl 0.0000 0.0000 0.0000  4 Tl 3.37-3.60, 6 Cd 3.43-3.54, 1 Ga 3.69
Tl 0.9999 0.0000 0.3572  12 Cd 3.45-3.66, 4 Tl 3.60-3.65
Tl 0.0116 0.3091 0.6659  4 Cd 3.22-3.53, 6 Tl 3.40-3.56, 1 Ga 3.40
Tl 0.0357 0.3713 0.3584  5 Cd 3.15-3.45, 3 Tl 3.42-3.45, 1 Ga 3.44
Tl 0.1958 0.1997 0.0268  5 Cd 3.21-3.48, 6 Tl 3.40-3.53
Tl 0.3098 0.0000 0.0497  5 Cd 3.30-3.60, 7 Tl 3.37-3.50
Tl 0.3179 0.3204 0.3542  4 Tl 3.40-3.63, 7 Cd 3.44-3.75
Tl 0.3395 0.3387 0.7531  5 Cd 3.17-3.54, 4 Tl 3.39-3.53, 1 Ga 3.39
Tl 0.3609 0.0000 0.6948  1 Ga 3.26, 3 Tl 3.40-3.65, 6 Cd 3.40-3.64
Tl 0.4475 0.1549 0.9587  3 Cd 3.19-3.32, 6 Tl 3.40-3.52
Cd 0.0861 0.0937 0.7091  3 Cd 2.96-3.10, 2 Tl 3.21-3.30
Cd 0.1442 0.5000 0.1831  3 Cd 3.03-3.08, 3 Tl 3.32-3.35
Cd 0.1762 0.1871 0.5320  3 Cd 2.96-3.07, 1 Tl 3.17
Cd 0.2311 0.4072 0.9876  3 Cd 2.99-3.08, 1 Ga 3.09, 2 Tl 3.22-3.32
Cd 0.2652 0.0903 0.3435  3 Cd 2.97-3.07, 1 Tl 3.15
Cd 0.3093 0.5000 0.5463  1 Ga 3.02, 3 Cd 3.03-3.10, 2 Tl 3.26
Cd 0.4941 0.3124 0.1691  3 Cd 2.99-3.07, 1 Tl 3.19
Ga 0.1291 0.5000 0.6735  3 Cd 3.02-3.09, 1 Tl 3.26